No. 1
Hf2Fe3Co | GGA-PBE | optimized geometry

## Properties
Raw total energy   -9.07 eV per atom
Space group   R-3m, No. 166

a = 4.9459 Å, b = 4.9459 Å, c = 4.9459 Å
α = 59.53°, β = 59.53°, γ = 59.53°
Atoms (fractional coordinates):
1 Hf 0.1248 0.1248 0.1248
2 Hf 0.8752 0.8752 0.8752
3 Fe 0.0000 0.5000 0.5000
4 Fe 0.5000 0.0000 0.5000
5 Fe 0.5000 0.5000 0.0000
6 Co 0.5000 0.5000 0.5000

No. 2
SrTe2MoN | GGA-PBE | optimized geometry

## Properties
Relative energy among the computed polymorphs   0 meV/atom
Space group   P4/mmm, No. 123
E_form (uncorrected)   -2.1 eV per formula unit

a = 5.6697 Å, b = 5.6697 Å, c = 3.8860 Å
α = 90.00°, β = 90.00°, γ = 90.00°
Atoms (fractional coordinates):
1 Sr 0.0000 0.0000 0.0000
2 Te 0.0000 0.5000 0.5000
3 Te 0.5000 0.0000 0.5000
4 Mo 0.5000 0.5000 0.5000
5 N 0.5000 0.5000 0.0000

No. 3
La2InPd3 | GGA-PBE | optimized geometry

## Properties
Raw total energy   -5.41 eV per atom
Space group   P6_3/mmc, No. 194

a = 4.6750 Å, b = 4.6750 Å, c = 15.2713 Å
α = 90.00°, β = 90.00°, γ = 120.00°
Atoms (fractional coordinates):
1 La 0.0000 0.0000 0.1168
2 La 0.0000 0.0000 0.3832
3 La 0.0000 0.0000 0.6168
4 La 0.0000 0.0000 0.8832
5 In 0.3333 0.6667 0.2500
6 In 0.6667 0.3333 0.7500
7 Pd 0.3333 0.6667 0.0154
8 Pd 0.3333 0.6667 0.4846
9 Pd 0.3333 0.6667 0.7500
10 Pd 0.6667 0.3333 0.2500
11 Pd 0.6667 0.3333 0.5154
12 Pd 0.6667 0.3333 0.9846